No. 1
## TcBIr2W (PBE)

Data for a geometry-optimized TcBIr2W structure.

a b c (Å): 4.7669 4.7669 4.7258
angles (deg): 90.00 90.00 90.00
Fractional positions:
Tc 0.0000 0.0000 0.0000
B 0.5000 0.5000 0.0000
Ir 0.0000 0.5000 0.5000
Ir 0.5000 0.0000 0.5000
W 0.0000 0.0000 0.5000

## Properties
* formation enthalpy at 0 K: 2.54 eV/atom

---

No. 2
## KAgPd (PBE)

Data for a geometry-optimized KAgPd structure.

a b c (Å): 5.7431 5.7431 5.7431
angles (deg): 119.77 119.46 90.67
Fractional positions:
K 0.3702 0.1202 0.2500
K 0.6298 0.8798 0.7500
Ag 0.0000 0.5000 0.5000
Ag 0.5000 0.5000 0.0000
Pd 0.0000 0.0000 0.5000
Pd 0.0000 0.5000 0.0000

## Properties
* formation enthalpy at 0 K: -0.08 eV/atom
* relative energy among the computed polymorphs: 0.00 eV per formula unit

---

No. 3
## Cd12Bi3I5 (PBE)

Data for a geometry-optimized Cd12Bi3I5 structure.

a b c (Å): 15.8739 15.8739 15.8739
angles (deg): 109.47 109.47 109.47
Fractional positions:
Cd 0.0774 0.7341 0.6563
Cd 0.0774 0.8433 0.4212
Cd 0.0778 0.2341 0.1567
Cd 0.0778 0.3437 0.9212
Cd 0.0788 0.6567 0.4226
Cd 0.0788 0.9222 0.6563
Cd 0.1563 0.2341 0.5774
Cd 0.1563 0.4222 0.5788
Cd 0.1567 0.0778 0.2341
Cd 0.1567 0.5788 0.9226
Cd 0.2341 0.1567 0.0778
Cd 0.2341 0.5774 0.1563
Cd 0.2659 0.3437 0.9226
Cd 0.2659 0.4222 0.3433
Cd 0.3433 0.2659 0.4222
Cd 0.3433 0.5774 0.9212
Cd 0.3437 0.9212 0.0778
Cd 0.3437 0.9226 0.2659
Cd 0.4212 0.0774 0.8433
Cd 0.4212 0.8437 0.5778
Cd 0.4222 0.3433 0.2659
Cd 0.4222 0.5788 0.1563
Cd 0.4226 0.0788 0.6567
Cd 0.4226 0.8437 0.7659
Cd 0.5774 0.1563 0.2341
Cd 0.5774 0.9212 0.3433
Cd 0.5778 0.4212 0.8437
Cd 0.5778 0.6567 0.7341
Cd 0.5788 0.1563 0.4222
Cd 0.5788 0.9226 0.1567
Cd 0.6563 0.0774 0.7341
Cd 0.6563 0.0788 0.9222
Cd 0.6567 0.4226 0.0788
Cd 0.6567 0.7341 0.5778
Cd 0.7341 0.5778 0.6567
Cd 0.7341 0.6563 0.0774
Cd 0.7659 0.4226 0.8437
Cd 0.7659 0.8433 0.9222
Cd 0.8433 0.4212 0.0774
Cd 0.8433 0.9222 0.7659
Cd 0.8437 0.5778 0.4212
Cd 0.8437 0.7659 0.4226
Cd 0.9212 0.0778 0.3437
Cd 0.9212 0.3433 0.5774
Cd 0.9222 0.6563 0.0788
Cd 0.9222 0.7659 0.8433
Cd 0.9226 0.1567 0.5788
Cd 0.9226 0.2659 0.3437
Bi 0.1250 0.2500 0.3750
Bi 0.1250 0.3750 0.7500
Bi 0.2500 0.3750 0.1250
Bi 0.2500 0.8750 0.6250
Bi 0.3750 0.1250 0.2500
Bi 0.3750 0.7500 0.1250
Bi 0.6250 0.2500 0.8750
Bi 0.6250 0.8750 0.7500
Bi 0.7500 0.1250 0.3750
Bi 0.7500 0.6250 0.8750
Bi 0.8750 0.6250 0.2500
Bi 0.8750 0.7500 0.6250
I 0.0000 0.0000 0.0000
I 0.0000 0.0000 0.5000
I 0.0000 0.5000 0.0000
I 0.0000 0.5000 0.5000
I 0.1250 0.7500 0.8750
I 0.1250 0.8750 0.2500
I 0.2500 0.1250 0.8750
I 0.2500 0.6250 0.3750
I 0.3750 0.2500 0.6250
I 0.3750 0.6250 0.7500
I 0.5000 0.0000 0.0000
I 0.5000 0.0000 0.5000
I 0.5000 0.5000 0.0000
I 0.5000 0.5000 0.5000
I 0.6250 0.3750 0.2500
I 0.6250 0.7500 0.3750
I 0.7500 0.3750 0.6250
I 0.7500 0.8750 0.1250
I 0.8750 0.1250 0.7500
I 0.8750 0.2500 0.1250

## Properties
* formation energy from raw total energies: -6 meV per atom

---

No. 4
## Na5Tl2Hg12 (PBE)

Data for a geometry-optimized Na5Tl2Hg12 structure.

a b c (Å): 8.8774 8.8774 8.0145
angles (deg): 94.23 94.23 55.38
Fractional positions:
Na 0.0000 0.0000 0.0000
Na 0.2476 0.2476 0.0625
Na 0.3327 0.3327 0.5443
Na 0.6673 0.6673 0.4557
Na 0.7524 0.7524 0.9375
Tl 0.2207 0.7793 0.5000
Tl 0.7793 0.2207 0.5000
Hg 0.0090 0.6292 0.2670
Hg 0.1434 0.1434 0.3647
Hg 0.1890 0.5865 0.8899
Hg 0.3708 0.9910 0.7330
Hg 0.4135 0.8110 0.1101
Hg 0.4531 0.4531 0.2286
Hg 0.5469 0.5469 0.7714
Hg 0.5865 0.1890 0.8899
Hg 0.6292 0.0090 0.2670
Hg 0.8110 0.4135 0.1101
Hg 0.8566 0.8566 0.6353
Hg 0.9910 0.3708 0.7330

## Properties
* formation enthalpy at 0 K: -0.15 eV/atom

---

No. 5
## SnP2H (PBE)

Data for a geometry-optimized SnP2H structure.

a b c (Å): 6.4441 6.4441 6.4441
angles (deg): 36.50 36.50 36.50
Fractional positions:
Sn 0.0000 0.0000 0.0000
P 0.4067 0.4067 0.4067
P 0.5933 0.5933 0.5933
H 0.5000 0.5000 0.5000

## Properties
* relative energy among the computed polymorphs: 0.00 eV per formula unit

---

No. 6
## AsRh (PBE)

Data for a geometry-optimized AsRh structure.

a b c (Å): 3.4866 3.4866 3.1532
angles (deg): 90.00 90.00 120.00
Fractional positions:
As 0.0000 0.0000 0.0000
Rh 0.6667 0.3333 0.5000

## Properties
* formation enthalpy at 0 K: -0.20 eV/atom

---

Computed uncorrected energy (eV/f.u.) in order:
-35.01 -9.38 -30.50 -17.79 -16.56 -12.40